Entry 1:
# CaMoPb2

CaMoPb2 after structural relaxation (GGA-PBE, the Alexandria database).

Cell lengths 3.311, 4.549, 14.509 Å; angles 90.00, 90.00, 90.00 degrees
Space group Imm2 (No. 44)
One atom of each set of equivalent atoms:
Ca 0.000 0.000 0.000
Mo 0.000 0.500 0.700
Pb 0.000 0.000 0.368
Pb 0.000 0.500 0.177

For the total energy, the calculation gives -4.72 eV/atom. The magnetic moment comes out at 0.000 μB/f.u. The calculation puts the energy above the most stable polymorph in this dataset at 134 meV per atom. For the energy relative to the elements, the calculation gives 338 meV/atom.

=====

Entry 2:
# NaLaRe3

NaLaRe3 after structural relaxation (GGA-PBE, the Alexandria database).

Cell lengths 4.696, 4.696, 4.696 Å; angles 90.00, 90.00, 90.00 degrees
Space group Pm-3m (No. 221)
One atom of each set of equivalent atoms:
Na 0.000 0.000 0.000
La 0.500 0.500 0.500
Re 0.000 0.000 0.500

For the total energy, the calculation gives -6.16 eV/atom. The magnetic moment comes out at 0.000 μB/f.u. The calculation puts the energy above the most stable polymorph in this dataset at 0 meV per atom. For the energy relative to the elements, the calculation gives 2562 meV/atom.

=====

Entry 3:
# UV2In

UV2In after structural relaxation (GGA-PBE, the Alexandria database).

Cell lengths 3.313, 3.313, 6.452 Å; angles 90.00, 90.00, 90.00 degrees
Space group P4/mmm (No. 123)
One atom of each set of equivalent atoms:
U 0.000 0.000 0.000
V 0.500 0.500 0.202
In 0.000 0.000 0.500

For the total energy, the calculation gives -7.85 eV/atom. The magnetic moment comes out at 1.014 μB/f.u. For the energy relative to the elements, the calculation gives 216 meV/atom.

=====

Entry 4:
# TbMgSn2

TbMgSn2 after structural relaxation (GGA-PBE, the Alexandria database).

Cell lengths 4.743, 4.743, 4.409 Å; angles 90.00, 90.00, 90.00 degrees
Space group P4/mmm (No. 123)
One atom of each set of equivalent atoms:
Tb 0.000 0.000 0.000
Mg 0.500 0.500 0.000
Sn 0.000 0.500 0.500

For the total energy, the calculation gives -4.06 eV/atom. The magnetic moment comes out at 0.000 μB/f.u. For the energy relative to the elements, the calculation gives -500 meV/atom.

=====

Entry 5:
# Tl2IrW

Tl2IrW after structural relaxation (GGA-PBE, the Alexandria database).

Cell lengths 6.056, 8.439, 2.984 Å; angles 90.00, 90.00, 90.00 degrees
Space group Cmmm (No. 65)
One atom of each set of equivalent atoms:
Tl 0.250 0.250 0.000
Ir 0.000 0.000 0.500
W 0.000 0.500 0.500

For the total energy, the calculation gives -5.61 eV/atom. The magnetic moment comes out at 0.001 μB/f.u. The calculation puts the energy above the most stable polymorph in this dataset at 656 meV per atom. For the energy relative to the elements, the calculation gives 1029 meV/atom.

=====

Entry 6:
# MnRe

MnRe after structural relaxation (GGA-PBE, the Alexandria database).

Cell lengths 9.706, 2.677, 6.291 Å; angles 90.00, 105.71, 90.00 degrees
Space group Cm (No. 8)
One atom of each set of equivalent atoms:
Mn 0.000 0.000 0.000
Mn 0.056 0.000 0.596
Mn 0.155 0.500 0.329
Re 0.202 0.500 0.935
Re 0.335 0.000 0.660
Re 0.387 0.000 0.272

For the total energy, the calculation gives -10.74 eV/atom. The magnetic moment comes out at 0.060 μB/f.u. For the energy relative to the elements, the calculation gives 69 meV/atom.

=====

Number 1: theoretical density 8.4 g cm⁻³. Number 2: theoretical density 11.6 g cm⁻³. Number 3: theoretical density 10.7 g cm⁻³. Number 4: theoretical density 7.0 g cm⁻³. Number 5: theoretical density 17.1 g cm⁻³. Number 6: theoretical density 15.3 g cm⁻³.